Entry 1:
Material: SbWAu2
Method: DFT, SCAN
State: single point on PBEsol structure

Computed properties:
raw total energy	-60.926	eV/atom
energy relative to the elements, uncorrected	390	meV per atom

```
SbWAu2
1.0
2.900 0.000 0.000
0.000 2.900 0.000
0.000 0.000 8.878
Au Sb W
2 1 1
Cartesian
0.000 0.000 6.368
0.000 0.000 2.510
1.450 1.450 0.000
1.450 1.450 4.439
```

---

Entry 2:
Material: Te2PtPb
Method: DFT, SCAN
State: single point on PBEsol structure

Computed properties:
raw total energy	-55.306	eV/atom
energy relative to the elements, uncorrected	-187	meV per atom

```
Te2PtPb
1.0
4.097 0.000 0.000
2.049 3.548 0.000
2.049 1.183 7.123
Te Pb Pt
2 1 1
Cartesian
6.146 3.548 5.327
6.146 3.548 0.420
4.097 2.366 3.280
2.049 1.183 1.657
```

---

Entry 3:
Material: CsK2CdBr
Method: DFT, SCAN
State: single point on PBEsol structure

Computed properties:
raw total energy	-21.067	eV/atom
energy relative to the elements, uncorrected	-198	meV per atom

```
CsK2CdBr
1.0
6.347 0.000 0.000
0.000 7.754 0.000
0.000 0.000 7.754
Br K Cs Cd
1 2 1 1
Cartesian
3.173 0.000 0.000
0.000 0.000 3.877
0.000 3.877 0.000
0.000 0.000 0.000
3.173 3.877 3.877
```

---

Entry 4:
Material: Li2CuPt
Method: DFT, SCAN
State: single point on PBEsol structure

Computed properties:
raw total energy	-22.905	eV/atom

```
Li2CuPt
1.0
-2.447 -1.156 0.014
1.879 -3.987 -0.641
1.142 0.805 4.398
Li Pt Cu
2 1 1
Cartesian
-0.792 -1.466 2.099
-1.296 -0.372 4.344
-0.255 -2.634 -0.288
1.327 -2.788 1.716
```

---

Entry 5:
Material: BaAl3O
Method: DFT, SCAN
State: single point on PBEsol structure

Computed properties:
raw total energy	-11.857	eV/atom
energy relative to the elements, uncorrected	1951	meV per atom

```
BaAl3O
1.0
6.078 0.000 0.000
0.000 6.078 0.000
0.000 0.000 6.078
O Al Ba
1 3 1
Cartesian
3.039 3.039 3.039
0.000 3.039 0.000
3.039 0.000 0.000
0.000 0.000 3.039
0.000 0.000 0.000
```

---

Entry 6:
Material: MgPtBr
Method: DFT, SCAN
State: single point on PBEsol structure

Computed properties:
raw total energy	-31.932	eV/atom
energy relative to the elements, uncorrected	-390	meV per atom

```
MgPtBr
1.0
3.141 0.047 0.000
-0.041 3.141 0.000
-1.550 -1.594 5.604
Pt Mg Br
1 1 1
Cartesian
0.000 0.000 3.509
1.550 1.594 1.946
0.000 0.000 0.150
```